Record 1
Below is a relaxed structure of CsKN2F8, with properties calculated at the GGA-PBE level.

```
data_CsKN2F8
_space_group_name_H-M_alt 'C 1 2/m 1'
_space_group_IT_number 12
_cell_length_a 11.928
_cell_length_b 4.917
_cell_length_c 7.488
_cell_angle_alpha 90.00
_cell_angle_beta 98.54
_cell_angle_gamma 90.00
loop_
_space_group_symop_operation_xyz
'x,y,z'
'-x,-y,-z'
'-x,y,-z'
'x,-y,z'
'x+1/2,y+1/2,z'
'-x+1/2,-y+1/2,-z'
'-x+1/2,y+1/2,-z'
'x+1/2,-y+1/2,z'
loop_
_atom_site_label
_atom_site_type_symbol
_atom_site_fract_x
_atom_site_fract_y
_atom_site_fract_z
Cs1 Cs 0.000 0.000 0.000
K1 K 0.000 0.500 0.500
N1 N 0.250 0.000 0.689
F1 F 0.077 0.500 0.203
F2 F 0.120 0.000 0.565
F3 F 0.231 0.220 0.798
```

Properties
- mass density (Mg/m³) = 2.7
- ΔE_f (raw) (eV per atom) = -1.127
- DOS(E_F) (states/eV/f.u.) = 0.00


Record 2
Below is a relaxed structure of Cs2KNF6, with properties calculated at the GGA-PBE level.

```
data_Cs2KNF6
_space_group_name_H-M_alt 'F m -3 m'
_space_group_IT_number 225
_space_group_name_Hall '-F 4 2 3'
_cell_length_a 8.964
_cell_length_b 8.964
_cell_length_c 8.964
_cell_angle_alpha 90.00
_cell_angle_beta 90.00
_cell_angle_gamma 90.00
loop_
_atom_site_label
_atom_site_type_symbol
_atom_site_fract_x
_atom_site_fract_y
_atom_site_fract_z
Cs1 Cs 0.250 0.250 0.250
K1 K 0.000 0.000 0.000
N1 N 0.000 0.000 0.500
F1 F 0.000 0.000 0.293
```

Properties
- mass density (Mg/m³) = 4.0
- ΔE_f (raw) (eV per atom) = -1.592
- DOS(E_F) (states/eV/f.u.) = 0.00


Record 3
Below is a relaxed structure of CsK2NaF4, with properties calculated at the GGA-PBE level.

```
data_CsK2NaF4
_space_group_name_H-M_alt 'C m c m'
_space_group_IT_number 63
_space_group_name_Hall '-C 2c 2'
_cell_length_a 3.911
_cell_length_b 13.180
_cell_length_c 13.169
_cell_angle_alpha 90.00
_cell_angle_beta 90.00
_cell_angle_gamma 90.00
loop_
_atom_site_label
_atom_site_type_symbol
_atom_site_fract_x
_atom_site_fract_y
_atom_site_fract_z
Cs1 Cs 0.000 0.115 0.250
K1 K 0.000 0.369 0.041
Na1 Na 0.000 0.150 0.750
F1 F 0.000 0.000 0.000
F2 F 0.000 0.256 0.622
F3 F 0.000 0.431 0.250
```

Properties
- mass density (Mg/m³) = 3.0
- ΔE_f (raw) (eV per atom) = -2.669
- DOS(E_F) (states/eV/f.u.) = 0.00